No. 1
The following is a PBE calculation of an optimized crystal structure of Na2SbAsH, from Alexandria.

Values from the calculation:
As for the total magnetization: 0.00 μB/cell. Its polymorph energy (0 for the lowest one) is 0.00 eV per formula unit. The calculation puts the calculated volume at 97 Å³/f.u. As for the space group: P4/mmm (123).

abc: 4.602 4.602 4.574
angles: 90.00 90.00 90.00
Fractional positions:
Na: 0.000 0.500 0.000
Na: 0.500 0.000 0.000
Sb: 0.000 0.000 0.500
As: 0.500 0.500 0.500
H: 0.000 0.000 0.000


No. 2
The following is a PBE calculation of an optimized crystal structure of Ac3ThH, from Alexandria.

Values from the calculation:
As for the total magnetization: 0.00 μB/cell. The calculation puts the total energy at -4.660 eV per atom. The calculation puts the calculated volume at 164 Å³/f.u. As for the space group: Pm-3m (221).

abc: 5.476 5.476 5.476
angles: 90.00 90.00 90.00
Fractional positions:
Ac: 0.000 0.000 0.500
Ac: 0.000 0.500 0.000
Ac: 0.500 0.000 0.000
Th: 0.500 0.500 0.500
H: 0.000 0.000 0.000


No. 3
The following is a PBE calculation of an optimized crystal structure of Li2Cd2F, from Alexandria.

Values from the calculation:
The calculation puts the formation energy from raw total energies at -0.59 eV per atom. As for the total magnetization: 0.00 μB/cell. Its polymorph energy (0 for the lowest one) is 2.02 eV per formula unit. The calculation puts the calculated volume at 115 Å³/f.u. As for the space group: I4/mmm (139).

abc: 8.310 8.310 8.310
angles: 153.36 153.36 38.03
Fractional positions:
Li: 0.091 0.091 0.000
Li: 0.909 0.909 0.000
Cd: 0.250 0.750 0.500
Cd: 0.750 0.250 0.500
F: 0.500 0.500 0.000


No. 4
The following is a PBE calculation of an optimized crystal structure of Mn4Sn, from Alexandria.

Values from the calculation:
As for the total magnetization: 16.45 μB/cell. The calculation puts the calculated volume at 125 Å³/f.u. The calculation puts the formation energy from the elements at 1.40 eV per atom. As for the space group: Pm-3m (221).

abc: 4.994 4.994 4.994
angles: 90.00 90.00 90.00
Fractional positions:
Mn: 0.000 0.000 0.000
Mn: 0.000 0.500 0.500
Mn: 0.500 0.000 0.500
Mn: 0.500 0.500 0.000
Sn: 0.500 0.500 0.500


No. 5
The following is a PBE calculation of an optimized crystal structure of YSn2Rh4, from Alexandria.

Values from the calculation:
As for the total magnetization: 0.00 μB/cell. Its polymorph energy (0 for the lowest one) is 0.00 eV per formula unit. The calculation puts the calculated volume at 128 Å³/f.u. The calculation puts the formation energy from the elements at -0.46 eV per atom. As for the space group: Fmmm (69).

abc: 6.781 5.765 5.321
angles: 75.31 55.32 49.37
Fractional positions:
Y: 0.000 0.000 0.000
Sn: 0.319 0.319 0.681
Sn: 0.681 0.681 0.319
Rh: 0.250 0.250 0.250
Rh: 0.295 0.705 0.295
Rh: 0.705 0.295 0.705
Rh: 0.750 0.750 0.750